First-principles (PBEsol) data for a relaxed structure of Mg3Al9FeSi5, as listed in the Alexandria database.

```
data_Mg3Al9FeSi5
_chemical_formula_sum 'Mg3 Al9 Fe1 Si5'
_cell_length_a 6.5949
_cell_length_b 6.5949
_cell_length_c 7.8015
_cell_angle_alpha 90.00
_cell_angle_beta 90.00
_cell_angle_gamma 120.00
_symmetry_space_group_name_H-M 'P -6 2 m'
_symmetry_Int_Tables_number 189
_symmetry_space_group_name_Hall 'P -6 -2'
loop_
_atom_site_label
_atom_site_fract_x
_atom_site_fract_y
_atom_site_fract_z
_atom_site_occupancy
Mg1 0.0000 0.4181 0.0000 1
Al1 0.0000 0.3767 0.5000 1
Al2 0.0000 0.7516 0.2770 1
Fe1 0.0000 0.0000 0.5000 1
Si1 0.0000 0.0000 0.0000 1
Si2 0.3333 0.6667 0.2634 1
```

Output
Formation energy (no corrections): -143 meV/atom

---

First-principles (PBEsol) data for a relaxed structure of KFe2Te, as listed in the Alexandria database.

```
data_KFe2Te
_chemical_formula_sum 'K3 Fe6 Te3'
_cell_length_a 3.1643
_cell_length_b 3.1643
_cell_length_c 28.5267
_cell_angle_alpha 90.00
_cell_angle_beta 90.00
_cell_angle_gamma 120.00
_symmetry_space_group_name_H-M 'R -3 m'
_symmetry_Int_Tables_number 166
_symmetry_space_group_name_Hall '-R 3 2"'
loop_
_atom_site_label
_atom_site_fract_x
_atom_site_fract_y
_atom_site_fract_z
_atom_site_occupancy
K1 0.0000 0.0000 0.0000 1
Fe1 0.0000 0.0000 0.2330 1
Te1 0.0000 0.0000 0.5000 1
```

Output
Formation energy (no corrections): 975 meV/atom

---

First-principles (PBEsol) data for a relaxed structure of CrN2F2, as listed in the Alexandria database.

```
data_CrN2F2
_chemical_formula_sum 'Cr1 N2 F2'
_cell_length_a 3.6197
_cell_length_b 3.6197
_cell_length_c 3.7205
_cell_angle_alpha 90.00
_cell_angle_beta 90.00
_cell_angle_gamma 90.00
_symmetry_space_group_name_H-M 'P 4/m m m'
_symmetry_Int_Tables_number 123
_symmetry_space_group_name_Hall '-P 4 2'
loop_
_atom_site_label
_atom_site_fract_x
_atom_site_fract_y
_atom_site_fract_z
_atom_site_occupancy
Cr1 0.0000 0.0000 0.0000 1
N1 0.0000 0.5000 0.0000 1
F1 0.0000 0.0000 0.5000 1
F2 0.5000 0.5000 0.5000 1
```

Output
Formation energy (no corrections): -49 meV/atom

---

First-principles (PBEsol) data for a relaxed structure of Li3Mg, as listed in the Alexandria database.

```
data_Li3Mg
_chemical_formula_sum 'Li12 Mg4'
_cell_length_a 4.3582
_cell_length_b 4.3582
_cell_length_c 16.5952
_cell_angle_alpha 90.00
_cell_angle_beta 90.00
_cell_angle_gamma 90.00
_symmetry_space_group_name_H-M 'I 4/m m m'
_symmetry_Int_Tables_number 139
_symmetry_space_group_name_Hall '-I 4 2'
loop_
_atom_site_label
_atom_site_fract_x
_atom_site_fract_y
_atom_site_fract_z
_atom_site_occupancy
Li1 0.0000 0.0000 0.1272 1
Li2 0.0000 0.5000 0.0000 1
Li3 0.0000 0.5000 0.2500 1
Mg1 0.0000 0.0000 0.3758 1
```

Output
Energy relative to the elements: -31 meV/atom

---

First-principles (PBEsol) data for a relaxed structure of CaMg, as listed in the Alexandria database.

```
data_CaMg
_chemical_formula_sum 'Ca12 Mg12'
_cell_length_a 11.5603
_cell_length_b 9.7123
_cell_length_c 6.7082
_cell_angle_alpha 90.00
_cell_angle_beta 90.00
_cell_angle_gamma 90.00
_symmetry_space_group_name_H-M 'P b c m'
_symmetry_Int_Tables_number 57
_symmetry_space_group_name_Hall '-P 2c 2b'
loop_
_atom_site_label
_atom_site_fract_x
_atom_site_fract_y
_atom_site_fract_z
_atom_site_occupancy
Ca1 0.1257 0.2500 0.0000 1
Ca2 0.1758 0.6291 0.2500 1
Ca3 0.3643 0.0435 0.2500 1
Mg1 0.0766 0.5489 0.7500 1
Mg2 0.3750 0.1093 0.7500 1
Mg3 0.4266 0.7500 0.0000 1
```

Output
Energy relative to the elements: -24 meV/atom

---

First-principles (PBEsol) data for a relaxed structure of NiWO2F, as listed in the Alexandria database.

```
data_NiWO2F
_chemical_formula_sum 'Ni1 W1 O2 F1'
_cell_length_a 3.8201
_cell_length_b 3.8201
_cell_length_c 3.5805
_cell_angle_alpha 90.00
_cell_angle_beta 90.00
_cell_angle_gamma 90.00
_symmetry_space_group_name_H-M 'P 4/m m m'
_symmetry_Int_Tables_number 123
_symmetry_space_group_name_Hall '-P 4 2'
loop_
_atom_site_label
_atom_site_fract_x
_atom_site_fract_y
_atom_site_fract_z
_atom_site_occupancy
Ni1 0.0000 0.0000 0.0000 1
W1 0.5000 0.5000 0.5000 1
O1 0.0000 0.5000 0.0000 1
F1 0.0000 0.0000 0.5000 1
```

Output
Formation energy (no corrections): 12 meV/atom

---

First-principles (PBEsol) data for a relaxed structure of ZnAu3, as listed in the Alexandria database.

```
data_ZnAu3
_chemical_formula_sum 'Zn2 Au6'
_cell_length_a 2.9761
_cell_length_b 9.1525
_cell_length_c 4.7511
_cell_angle_alpha 90.00
_cell_angle_beta 90.00
_cell_angle_gamma 90.00
_symmetry_space_group_name_H-M 'I m m 2'
_symmetry_Int_Tables_number 44
_symmetry_space_group_name_Hall 'I 2 -2'
loop_
_atom_site_label
_atom_site_fract_x
_atom_site_fract_y
_atom_site_fract_z
_atom_site_occupancy
Zn1 0.0000 0.0000 0.0000 1
Au1 0.0000 0.2651 0.6182 1
Au2 0.0000 0.5000 0.0160 1
```

Output
Energy relative to the elements: -115 meV/atom

---

First-principles (PBEsol) data for a relaxed structure of YAgHg, as listed in the Alexandria database.

```
data_YAgHg
_chemical_formula_sum 'Y2 Ag2 Hg2'
_cell_length_a 3.7567
_cell_length_b 3.7567
_cell_length_c 9.2141
_cell_angle_alpha 90.00
_cell_angle_beta 90.00
_cell_angle_gamma 90.00
_symmetry_space_group_name_H-M 'I 4 m m'
_symmetry_Int_Tables_number 107
_symmetry_space_group_name_Hall 'I 4 -2'
loop_
_atom_site_label
_atom_site_fract_x
_atom_site_fract_y
_atom_site_fract_z
_atom_site_occupancy
Y1 0.0000 0.0000 0.0000 1
Ag1 0.0000 0.0000 0.3302 1
Hg1 0.0000 0.0000 0.6718 1
```

Output
Energy relative to the elements: -416 meV/atom

---

First-principles (PBEsol) data for a relaxed structure of Dy5SbPd2, as listed in the Alexandria database.

```
data_Dy5SbPd2
_chemical_formula_sum 'Dy20 Sb4 Pd8'
_cell_length_a 7.6512
_cell_length_b 7.6512
_cell_length_c 13.3505
_cell_angle_alpha 90.00
_cell_angle_beta 90.00
_cell_angle_gamma 90.00
_symmetry_space_group_name_H-M 'I 4/m c m'
_symmetry_Int_Tables_number 140
_symmetry_space_group_name_Hall '-I 4 2c'
loop_
_atom_site_label
_atom_site_fract_x
_atom_site_fract_y
_atom_site_fract_z
_atom_site_occupancy
Dy1 0.0000 0.0000 0.0000 1
Dy2 0.1568 0.3432 0.1424 1
Sb1 0.0000 0.0000 0.2500 1
Pd1 0.1349 0.3651 0.5000 1
```

Output
Formation energy (no corrections): -775 meV/atom

---

First-principles (PBEsol) data for a relaxed structure of MnIr3F, as listed in the Alexandria database.

```
data_MnIr3F
_chemical_formula_sum 'Mn1 Ir3 F1'
_cell_length_a 4.3878
_cell_length_b 4.3878
_cell_length_c 4.3878
_cell_angle_alpha 90.00
_cell_angle_beta 90.00
_cell_angle_gamma 90.00
_symmetry_space_group_name_H-M 'P m -3 m'
_symmetry_Int_Tables_number 221
_symmetry_space_group_name_Hall '-P 4 2 3'
loop_
_atom_site_label
_atom_site_fract_x
_atom_site_fract_y
_atom_site_fract_z
_atom_site_occupancy
Mn1 0.0000 0.0000 0.0000 1
Ir1 0.0000 0.0000 0.5000 1
F1 0.5000 0.5000 0.5000 1
```

Output
Formation energy (no corrections): 1642 meV/atom

---

First-principles (PBEsol) data for a relaxed structure of HgPbAu, as listed in the Alexandria database.

```
data_HgPbAu
_chemical_formula_sum 'Hg2 Pb2 Au2'
_cell_length_a 4.8534
_cell_length_b 4.8732
_cell_length_c 6.2684
_cell_angle_alpha 90.00
_cell_angle_beta 112.47
_cell_angle_gamma 90.00
_symmetry_space_group_name_H-M 'C 1 m 1'
_symmetry_Int_Tables_number 8
_symmetry_space_group_name_Hall 'C -2y'
loop_
_atom_site_label
_atom_site_fract_x
_atom_site_fract_y
_atom_site_fract_z
_atom_site_occupancy
Hg1 0.0000 0.0000 0.0000 1
Pb1 0.2008 0.5000 0.3964 1
Au1 0.3580 0.0000 0.7142 1
```

Output
Energy above the most stable polymorph in this dataset: 56.4 meV/atom
Energy relative to the elements: 20 meV/atom

---

First-principles (PBEsol) data for a relaxed structure of TlIn2Ga2, as listed in the Alexandria database.

```
data_TlIn2Ga2
_chemical_formula_sum 'Tl2 In4 Ga4'
_cell_length_a 4.4074
_cell_length_b 4.4074
_cell_length_c 12.5158
_cell_angle_alpha 90.00
_cell_angle_beta 90.00
_cell_angle_gamma 90.00
_symmetry_space_group_name_H-M 'I 4/m m m'
_symmetry_Int_Tables_number 139
_symmetry_space_group_name_Hall '-I 4 2'
loop_
_atom_site_label
_atom_site_fract_x
_atom_site_fract_y
_atom_site_fract_z
_atom_site_occupancy
Tl1 0.0000 0.0000 0.0000 1
In1 0.0000 0.0000 0.3874 1
Ga1 0.0000 0.5000 0.2500 1
```

Output
Energy above the most stable polymorph in this dataset: 11.6 meV/atom
Energy relative to the elements: 66 meV/atom

---

First-principles (PBEsol) data for a relaxed structure of Al5Os, as listed in the Alexandria database.

```
data_Al5Os
_chemical_formula_sum 'Al5 Os1'
_cell_length_a 4.7450
_cell_length_b 4.7450
_cell_length_c 4.5024
_cell_angle_alpha 90.00
_cell_angle_beta 90.00
_cell_angle_gamma 120.00
_symmetry_space_group_name_H-M 'P -6 2 m'
_symmetry_Int_Tables_number 189
_symmetry_space_group_name_Hall 'P -6 -2'
loop_
_atom_site_label
_atom_site_fract_x
_atom_site_fract_y
_atom_site_fract_z
_atom_site_occupancy
Al1 0.0000 0.6820 0.0000 1
Al2 0.3333 0.6667 0.5000 1
Os1 0.0000 0.0000 0.5000 1
```

Output
Energy relative to the elements: -248 meV/atom

---

First-principles (PBEsol) data for a relaxed structure of Rh8Au, as listed in the Alexandria database.

```
data_Rh8Au
_chemical_formula_sum 'Rh16 Au2'
_cell_length_a 8.0965
_cell_length_b 8.0965
_cell_length_c 3.7979
_cell_angle_alpha 90.00
_cell_angle_beta 90.00
_cell_angle_gamma 90.00
_symmetry_space_group_name_H-M 'I 4/m m m'
_symmetry_Int_Tables_number 139
_symmetry_space_group_name_Hall '-I 4 2'
loop_
_atom_site_label
_atom_site_fract_x
_atom_site_fract_y
_atom_site_fract_z
_atom_site_occupancy
Rh1 0.0000 0.3378 0.0000 1
Rh2 0.1717 0.1717 0.5000 1
Au1 0.0000 0.0000 0.0000 1
```

Output
Energy relative to the elements: 75 meV/atom

---

First-principles (PBEsol) data for a relaxed structure of Ce2CN3Cl, as listed in the Alexandria database.

```
data_Ce2CN3Cl
_chemical_formula_sum 'Ce8 C4 N12 Cl4'
_cell_length_a 9.1712
_cell_length_b 13.1975
_cell_length_c 3.8155
_cell_angle_alpha 90.00
_cell_angle_beta 90.00
_cell_angle_gamma 90.00
_symmetry_space_group_name_H-M 'C m m m'
_symmetry_Int_Tables_number 65
_symmetry_space_group_name_Hall '-C 2 2'
loop_
_atom_site_label
_atom_site_fract_x
_atom_site_fract_y
_atom_site_fract_z
_atom_site_occupancy
Ce1 0.0000 0.1329 0.0000 1
Ce2 0.2054 0.5000 0.5000 1
C1 0.2500 0.2500 0.5000 1
N1 0.1577 0.0000 0.0000 1
N2 0.1737 0.1730 0.5000 1
Cl1 0.0000 0.3770 0.0000 1
```

Output
Formation energy (no corrections): -1311 meV/atom

---

First-principles (PBEsol) data for a relaxed structure of LaSnPd3, as listed in the Alexandria database.

```
data_LaSnPd3
_chemical_formula_sum 'La1 Sn1 Pd3'
_cell_length_a 4.9011
_cell_length_b 4.9011
_cell_length_c 4.9011
_cell_angle_alpha 90.00
_cell_angle_beta 90.00
_cell_angle_gamma 90.00
_symmetry_space_group_name_H-M 'P m -3 m'
_symmetry_Int_Tables_number 221
_symmetry_space_group_name_Hall '-P 4 2 3'
loop_
_atom_site_label
_atom_site_fract_x
_atom_site_fract_y
_atom_site_fract_z
_atom_site_occupancy
La1 0.0000 0.0000 0.0000 1
Sn1 0.5000 0.5000 0.5000 1
Pd1 0.0000 0.5000 0.5000 1
```

Output
Energy relative to the elements: -216 meV/atom

---

First-principles (PBEsol) data for a relaxed structure of LiScPt2, as listed in the Alexandria database.

```
data_LiScPt2
_chemical_formula_sum 'Li1 Sc1 Pt2'
_cell_length_a 2.8493
_cell_length_b 4.0601
_cell_length_c 5.3250
_cell_angle_alpha 90.00
_cell_angle_beta 90.00
_cell_angle_gamma 90.00
_symmetry_space_group_name_H-M 'P m m 2'
_symmetry_Int_Tables_number 25
_symmetry_space_group_name_Hall 'P 2 -2'
loop_
_atom_site_label
_atom_site_fract_x
_atom_site_fract_y
_atom_site_fract_z
_atom_site_occupancy
Li1 0.0000 0.0000 0.0000 1
Sc1 0.5000 0.5000 0.6933 1
Pt1 0.0000 0.0000 0.4789 1
Pt2 0.5000 0.5000 0.1768 1
```

Output
Energy above the most stable polymorph in this dataset: 218.8 meV/atom
Energy relative to the elements: -740 meV/atom

---

First-principles (PBEsol) data for a relaxed structure of Sr2IrAu, as listed in the Alexandria database.

```
data_Sr2IrAu
_chemical_formula_sum 'Sr2 Ir1 Au1'
_cell_length_a 3.6412
_cell_length_b 3.6412
_cell_length_c 8.5231
_cell_angle_alpha 90.00
_cell_angle_beta 90.00
_cell_angle_gamma 90.00
_symmetry_space_group_name_H-M 'P 4 m m'
_symmetry_Int_Tables_number 99
_symmetry_space_group_name_Hall 'P 4 -2'
loop_
_atom_site_label
_atom_site_fract_x
_atom_site_fract_y
_atom_site_fract_z
_atom_site_occupancy
Sr1 0.0000 0.0000 0.0000 1
Sr2 0.5000 0.5000 0.4258 1
Ir1 0.5000 0.5000 0.7615 1
Au1 0.0000 0.0000 0.6597 1
```

Output
Energy relative to the elements: 46 meV/atom

---

First-principles (PBEsol) data for a relaxed structure of TaFe4Tc, as listed in the Alexandria database.

```
data_TaFe4Tc
_chemical_formula_sum 'Ta4 Fe16 Tc4'
_cell_length_a 6.5854
_cell_length_b 6.5854
_cell_length_c 6.5854
_cell_angle_alpha 90.00
_cell_angle_beta 90.00
_cell_angle_gamma 90.00
_symmetry_space_group_name_H-M 'F -4 3 m'
_symmetry_Int_Tables_number 216
_symmetry_space_group_name_Hall 'F -4 2 3'
loop_
_atom_site_label
_atom_site_fract_x
_atom_site_fract_y
_atom_site_fract_z
_atom_site_occupancy
Ta1 0.0000 0.0000 0.0000 1
Fe1 0.1250 0.1250 0.3750 1
Tc1 0.2500 0.2500 0.7500 1
```

Output
Energy relative to the elements: -113 meV/atom

---

First-principles (PBEsol) data for a relaxed structure of CdNiAs, as listed in the Alexandria database.

```
data_CdNiAs
_chemical_formula_sum 'Cd2 Ni2 As2'
_cell_length_a 2.9133
_cell_length_b 2.9133
_cell_length_c 11.5801
_cell_angle_alpha 90.00
_cell_angle_beta 90.00
_cell_angle_gamma 90.00
_symmetry_space_group_name_H-M 'I 4 m m'
_symmetry_Int_Tables_number 107
_symmetry_space_group_name_Hall 'I 4 -2'
loop_
_atom_site_label
_atom_site_fract_x
_atom_site_fract_y
_atom_site_fract_z
_atom_site_occupancy
Cd1 0.0000 0.0000 0.0000 1
Ni1 0.0000 0.0000 0.6605 1
As1 0.0000 0.0000 0.2737 1
```

Output
Energy relative to the elements: -48 meV/atom